The following is a DFT calculation (PBE-GGA) of a relaxed structure of Ca2ScPd.

extended XYZ file:
```
16
Lattice="9.9204 0.0000 0.0000 0.0000 9.9204 0.0000 0.0000 0.0000 5.2844" Properties=species:S:1:pos:R:3 pbc="T T T"
Ca 1.2579 2.4801 0.6606
Ca 2.4801 6.2180 1.9817
Ca 2.4801 8.6625 4.6239
Ca 3.7023 2.4801 3.3028
Ca 6.2180 7.4403 3.3028
Ca 7.4403 1.2579 4.6239
Ca 7.4403 3.7023 1.9817
Ca 8.6625 7.4403 0.6606
Sc 0.0000 0.0000 2.6422
Sc 0.0000 4.9602 3.9633
Sc 4.9602 0.0000 1.3211
Sc 4.9602 4.9602 0.0000
Pd 0.0000 0.0000 0.0000
Pd 0.0000 4.9602 1.3211
Pd 4.9602 0.0000 3.9633
Pd 4.9602 4.9602 2.6422
```

Its space-group type is I-42d, No. 122. Its total energy is -3.939 eV per atom.

***

The following is a DFT calculation (PBE-GGA) of a relaxed structure of CaScPd.

extended XYZ file:
```
6
Lattice="4.4577 0.0000 0.0000 0.0000 4.4577 0.0000 0.0000 0.0000 7.6026" Properties=species:S:1:pos:R:3 pbc="T T T"
Ca 1.1144 1.1144 1.0410
Ca 3.3433 3.3433 6.5616
Sc 1.1144 3.3433 3.8013
Sc 3.3433 1.1144 3.8013
Pd 1.1144 1.1144 5.4147
Pd 3.3433 3.3433 2.1878
```

Its space-group type is P4/nmm, No. 129. Its total energy is -5.090 eV per atom.

***

The following is a DFT calculation (PBE-GGA) of a relaxed structure of Ca2Sc2Pd.

extended XYZ file:
```
10
Lattice="6.9868 0.0000 0.0000 0.0000 6.9868 0.0000 0.0000 0.0000 5.7055" Properties=species:S:1:pos:R:3 pbc="T T T"
Ca 1.2317 2.2617 0.0000
Ca 2.2617 5.7551 0.0000
Ca 4.7250 1.2317 0.0000
Ca 5.7551 4.7250 0.0000
Sc 1.0953 4.5887 2.8527
Sc 2.3981 1.0953 2.8527
Sc 4.5887 5.8915 2.8527
Sc 5.8915 2.3981 2.8527
Pd 0.0000 0.0000 2.8527
Pd 3.4934 3.4934 2.8527
```

Its space-group type is P4/mbm, No. 127. Its total energy is -4.477 eV per atom.